A plane-wave DFT calculation with GGA-PBE was carried out for an optimized crystal structure of ZnCdCl2.

Computed properties:
**ΔE to the lowest computed polymorph**: 1.298 eV/f.u.
**Formation energy without anion corrections**: -0.358 eV/atom

abc: 3.3649 3.3649 9.4480
angles: 90.00 90.00 90.00
Space group P4/mmm (No. 123)
Symmetry-distinct sites (fractional):
Zn 0.0000 0.0000 0.0000
Cd 0.0000 0.0000 0.5000
Cl 0.5000 0.5000 0.3324